Record 1
A plane-wave DFT calculation with GGA-PBE was carried out for a geometry-optimized CsAgHg2 structure.

a b c (Å): 5.8107 5.8107 5.8107
angles (deg): 60.00 60.00 60.00
Closest atoms and distances in Å follow each position.
Atoms (fractional coordinates):
Hg (0.7500, 0.7500, 0.7500)  4 Cs 3.56, 4 Ag 3.56
Cs (0.5000, 0.5000, 0.5000)  8 Hg 3.56
Hg (0.2500, 0.2500, 0.2500)  4 Cs 3.56, 4 Ag 3.56
Ag (0.0000, 0.0000, 0.0000)  8 Hg 3.56

Output
The electronic total energy is -0.040 Ha/atom. As for the formation energy: -0.005 eV/f.u. The calculated volume is 34.682 A^3/atom. The total magnetization is 0.000 Bohr magnetons per cell. The value obtained for the offset from the most stable computed form is 137 meV/atom.

***

Record 2
A plane-wave DFT calculation with GGA-PBE was carried out for a geometry-optimized Pr3Hg2Au structure.

a b c (Å): 3.8191 3.8191 11.5086
angles (deg): 90.00 90.00 90.00
Closest atoms and distances in Å follow each position.
Atoms (fractional coordinates):
Pr (0.0000, 0.0000, 0.0000)  8 Hg 3.31
Pr (0.0000, 0.0000, 0.3438)  4 Au 3.24, 4 Hg 3.38, 1 Pr 3.59
Au (0.5000, 0.5000, 0.5000)  8 Pr 3.24
Hg (0.5000, 0.5000, 0.1670)  8 Pr 3.31-3.38
Pr (0.0000, 0.0000, 0.6562)  4 Au 3.24, 4 Hg 3.38, 1 Pr 3.59
Hg (0.5000, 0.5000, 0.8330)  8 Pr 3.31-3.38

Output
The electronic total energy is -0.132 Ha/atom. As for the formation energy: -3.371 eV/f.u. The calculated volume is 27.977 A^3/atom. The total magnetization is 0.275 Bohr magnetons per cell. The value obtained for the offset from the most stable computed form is 0 meV/atom.

***

Record 3
A plane-wave DFT calculation with GGA-PBE was carried out for a geometry-optimized ZrZnTe2 structure.

a b c (Å): 3.6680 3.6680 6.9803
angles (deg): 90.00 90.00 90.00
Closest atoms and distances in Å follow each position.
Atoms (fractional coordinates):
Te (0.0000, 0.0000, 0.9859)  4 Zr 3.07, 4 Zn 3.18, 1 Te 3.29
Te (0.0000, 0.0000, 0.5141)  4 Zr 3.07, 4 Zn 3.18, 1 Te 3.29
Zn (0.5000, 0.5000, 0.2500)  8 Te 3.18, 2 Zr 3.49
Zr (0.5000, 0.5000, 0.7500)  8 Te 3.07

Output
The electronic total energy is -0.164 Ha/atom. The calculated volume is 23.478 A^3/atom. The total magnetization is 0.000 Bohr magnetons per cell.

***

Please write out number 3 again, unchanged.
A plane-wave DFT calculation with GGA-PBE was carried out for a geometry-optimized ZrZnTe2 structure.

a b c (Å): 3.6680 3.6680 6.9803
angles (deg): 90.00 90.00 90.00
Closest atoms and distances in Å follow each position.
Atoms (fractional coordinates):
Te (0.0000, 0.0000, 0.9859)  4 Zr 3.07, 4 Zn 3.18, 1 Te 3.29
Te (0.0000, 0.0000, 0.5141)  4 Zr 3.07, 4 Zn 3.18, 1 Te 3.29
Zn (0.5000, 0.5000, 0.2500)  8 Te 3.18, 2 Zr 3.49
Zr (0.5000, 0.5000, 0.7500)  8 Te 3.07

Output
The electronic total energy is -0.164 Ha/atom. The calculated volume is 23.478 A^3/atom. The total magnetization is 0.000 Bohr magnetons per cell.

***

- Number 1 is which compound?
  CsAgHg2

***

- What is the electronic total energy in the third record?
  -0.164 Ha/atom